(1)
Material: TlTcIO2
Method: DFT, GGA-PBE
State: optimized geometry

The value obtained for the total energy is -25.97 eV for the cell shown. Its energy above the lowest structure with this stoichiometry is 0.00 eV per formula unit. Its uncorrected formation energy is -0.35 eV/atom.

The structure belongs to space group P4/mmm (No. 123); the cell edges are 4.125, 4.125 and 5.661 Å and the angles 90.00°, 90.00° and 90.00°. The asymmetric unit holds Tl at (0.000, 0.000, 0.000), Tc at (0.500, 0.500, 0.500), I at (0.500, 0.500, 0.000) and O at (0.000, 0.500, 0.500).

=====

(2)
Material: ZnSiSnOs2
Method: DFT, GGA-PBE
State: optimized geometry

The value obtained for the total energy is -21.93 eV for the cell shown. Its uncorrected formation energy is 2.25 eV/atom.

The structure belongs to space group P4/mmm (No. 123); the cell edges are 4.914, 4.914 and 4.919 Å and the angles 90.00°, 90.00° and 90.00°. The asymmetric unit holds Zn at (0.000, 0.000, 0.000), Si at (0.500, 0.500, 0.000), Sn at (0.500, 0.500, 0.500) and Os at (0.000, 0.500, 0.500).

=====

(3)
Material: Be3Co5
Method: DFT, GGA-PBE
State: optimized geometry

The value obtained for the total energy is -95.40 eV for the cell shown. Its formation enthalpy at 0 K is -124 meV/atom. Its energy above the lowest structure with this stoichiometry is 0.77 eV per formula unit.

The structure belongs to space group P6_3/mcm (No. 193); the cell edges are 6.2923, 6.2923 and 4.4145 Å and the angles 90.00°, 90.00° and 120.00°. The asymmetric unit holds Be at (0.0000, 0.4015, 0.2500), Co at (0.0000, 0.2370, 0.7500) and Co at (0.3333, 0.6667, 0.0000).

=====

(4)
Material: Zr2Cu2Pb
Method: DFT, GGA-PBE
State: optimized geometry

The value obtained for the total energy is -56.81 eV for the cell shown. Its formation enthalpy at 0 K is 119 meV/atom.

The structure belongs to space group P4/mbm (No. 127); the cell edges are 7.942, 7.942 and 3.203 Å and the angles 90.00°, 90.00° and 90.00°. The asymmetric unit holds Zr at (0.163, 0.337, 0.000), Cu at (0.125, 0.625, 0.500) and Pb at (0.000, 0.000, 0.000).

=====

(5)
Material: Pm4Se2N
Method: DFT, GGA-PBE
State: optimized geometry

The value obtained for the total energy is -84.51 eV for the cell shown. Its uncorrected formation energy is -1.14 eV/atom.

The structure belongs to space group I4/mmm (No. 139); the cell edges are 4.732, 4.732 and 15.455 Å and the angles 90.00°, 90.00° and 90.00°. The asymmetric unit holds Pm at (0.000, 0.000, 0.170), Pm at (0.000, 0.500, 0.000), Se at (0.000, 0.000, 0.364) and N at (0.000, 0.000, 0.000).

=====

(6)
Material: NiPSe2
Method: DFT, GGA-PBE
State: optimized geometry

The value obtained for the total energy is -17.36 eV for the cell shown. Its uncorrected formation energy is 0.20 eV/atom.

The structure belongs to space group P4mm (No. 99); the cell edges are 3.404, 3.404 and 6.618 Å and the angles 90.00°, 90.00° and 90.00°. The asymmetric unit holds Ni at (0.000, 0.000, 0.000), P at (0.500, 0.500, 0.190), Se at (0.000, 0.000, 0.360) and Se at (0.500, 0.500, 0.833).

=====

(7)
Material: Y3P
Method: DFT, GGA-PBE
State: optimized geometry

The value obtained for the total energy is -26.23 eV for the cell shown. Its formation enthalpy at 0 K is -357 meV/atom. Its energy above the lowest structure with this stoichiometry is 1.39 eV per formula unit.

The structure belongs to space group Pmm2 (No. 25); the cell edges are 3.906, 4.505 and 5.988 Å and the angles 90.00°, 90.00° and 90.00°. The asymmetric unit holds Y at (0.000, 0.000, 0.000), Y at (0.000, 0.500, 0.436), Y at (0.500, 0.500, 0.861) and P at (0.500, 0.000, 0.571).